Record 1
The following is a DFT calculation (GGA-PBE) of crystalline TiMn2W at its relaxed geometry.

Unit cell a=4.2186 b=4.2186 c=2.9804 alpha=90.00 beta=90.00 gamma=90.00
Positions (direct):
1 Ti 0.0000 0.0000 0.0000
2 Mn 0.0000 0.5000 0.5000
3 Mn 0.5000 0.0000 0.5000
4 W 0.5000 0.5000 0.0000

Properties
Uncorrected energy ... -40.036 eV per cell
Offset from the most stable computed form ... 1.8 kJ/mol of atoms
Symmetry ... P4/mmm (123)

=====

Record 2
The following is a DFT calculation (GGA-PBE) of crystalline Ti2Mn3W at its relaxed geometry.

Unit cell a=2.9840 b=2.9840 c=8.9582 alpha=90.00 beta=90.00 gamma=90.00
Positions (direct):
1 Ti 0.0000 0.0000 0.1640
2 Ti 0.0000 0.0000 0.8360
3 Mn 0.5000 0.5000 0.0000
4 Mn 0.5000 0.5000 0.3365
5 Mn 0.5000 0.5000 0.6635
6 W 0.0000 0.0000 0.5000

Properties
Uncorrected energy ... -57.613 eV per cell
Symmetry ... P4/mmm (123)